Here is a PBEsol-optimized structure of Mn3O2F4 from Alexandria. Energies are from meta-GGA SCAN.

```
Mn3O2F4
1.0
-1.269 0.242 -2.784
-1.713 -6.420 0.222
-7.923 5.698 4.106
Mn O F
6 4 8
Direct
0.000 0.324 0.647 Mn
0.500 0.171 0.342 Mn
0.500 0.829 0.658 Mn
0.000 0.000 0.000 Mn
0.000 0.676 0.353 Mn
0.500 0.500 0.000 Mn
0.500 0.265 0.530 O
0.000 0.307 0.000 O
0.500 0.735 0.470 O
0.000 0.693 0.000 O
0.000 0.032 0.671 F
0.000 0.968 0.329 F
0.000 0.639 0.671 F
0.500 0.070 0.140 F
0.500 0.610 0.220 F
0.500 0.930 0.860 F
0.000 0.361 0.329 F
0.500 0.390 0.780 F
```

Values from the calculation:
As for the symmetry: Cmmm, No. 65. Its mass density is 4.417 Mg/m³. The value obtained for the uncorrected formation energy is -2546 meV per atom. The calculation puts the energy above the most stable polymorph in this dataset at 50.4 meV/atom.